Entry 1:
An optimized crystal structure of PmThSc2Se4, computed with PBE.

Calculated values
The energy relative to the elements, uncorrected comes out at -1.62 eV per atom. As for the crystal system: monoclinic. Its volume is 186.3 Å³ per cell.

Cell lengths 6.907, 3.967, 7.174 Å; angles 90.00, 108.60, 90.00 degrees
Space group P2/m (No. 10)
One atom of each set of equivalent atoms:
Pm: 0.000 0.000 0.000
Th: 0.500 0.500 0.000
Sc: 0.000 0.500 0.500
Sc: 0.500 0.000 0.500
Se: 0.239 0.000 0.721
Se: 0.259 0.500 0.278

Entry 2:
An optimized crystal structure of CdCu2BiAu, computed with PBE.

Calculated values
As for the crystal system: tetragonal. Its formation enthalpy at 0 K is 564 meV/atom. Its volume is 128.7 Å³ per cell.

Cell lengths 4.870, 4.870, 5.426 Å; angles 90.00, 90.00, 90.00 degrees
Space group P4/mmm (No. 123)
One atom of each set of equivalent atoms:
Cd: 0.000 0.000 0.000
Cu: 0.000 0.500 0.500
Bi: 0.500 0.500 0.000
Au: 0.500 0.500 0.500

Entry 3:
An optimized crystal structure of Ce2Zn2Au, computed with PBE.

Calculated values
As for the crystal system: monoclinic. Its formation enthalpy at 0 K is -397 meV/atom. Its volume is 440.6 Å³ per cell.

Cell lengths 10.624, 4.580, 9.550 Å; angles 90.00, 108.52, 90.00 degrees
Space group C2/m (No. 12)
One atom of each set of equivalent atoms:
Ce: 0.092 0.000 0.375
Ce: 0.188 0.000 0.052
Zn: 0.002 0.500 0.137
Zn: 0.102 0.500 0.627
Au: 0.235 0.000 0.711

Entry 4:
An optimized crystal structure of CeZrSi, computed with PBE.

Calculated values
The energy relative to the elements, uncorrected comes out at -0.58 eV per atom. As for the crystal system: tetragonal. Its volume is 125.8 Å³ per cell.

Cell lengths 3.908, 3.908, 8.236 Å; angles 90.00, 90.00, 90.00 degrees
Space group P4/nmm (No. 129, origin choice 2)
One atom of each set of equivalent atoms:
Ce: 0.250 0.750 0.000
Zr: 0.250 0.250 0.372
Si: 0.250 0.250 0.707

Entry 5:
An optimized crystal structure of Cs3Hg12I5, computed with PBE.

Calculated values
The energy relative to the elements, uncorrected comes out at -0.24 eV per atom. As for the crystal system: cubic. Its volume is 8794.5 Å³ per cell.

Cell lengths 20.641, 20.641, 20.641 Å; angles 90.00, 90.00, 90.00 degrees
Space group Ia-3d (No. 230)
One atom of each set of equivalent atoms:
Cs: 0.000 0.250 0.125
Hg: 0.016 0.072 0.652
I: 0.000 0.000 0.000
I: 0.000 0.250 0.375

Entry 6:
An optimized crystal structure of PmTm2Cd, computed with PBE.

Calculated values
As for the crystal system: orthorhombic. Its formation enthalpy at 0 K is -146 meV/atom. Its volume is 233.0 Å³ per cell.

Cell lengths 3.760, 5.460, 11.349 Å; angles 90.00, 90.00, 90.00 degrees
Space group Immm (No. 71)
One atom of each set of equivalent atoms:
Pm: 0.000 0.000 0.000
Tm: 0.000 0.500 0.225
Cd: 0.000 0.000 0.500

Entry 7:
An optimized crystal structure of MnHgI3, computed with PBE.

Calculated values
The energy relative to the elements, uncorrected comes out at 0.39 eV per atom. As for the crystal system: cubic. Its volume is 208.9 Å³ per cell.

Cell lengths 5.933, 5.933, 5.933 Å; angles 90.00, 90.00, 90.00 degrees
Space group Pm-3m (No. 221)
One atom of each set of equivalent atoms:
Mn: 0.000 0.000 0.000
Hg: 0.500 0.500 0.500
I: 0.000 0.500 0.500

Entry 8:
An optimized crystal structure of Fe2Ru, computed with PBE.

Calculated values
As for the crystal system: hexagonal. Its formation enthalpy at 0 K is 144 meV/atom. Its volume is 35.7 Å³ per cell.

Cell lengths 4.0247, 4.0247, 2.5424 Å; angles 90.00, 90.00, 120.00 degrees
Space group P6/mmm (No. 191)
One atom of each set of equivalent atoms:
Fe: 0.3333 0.6667 0.0000
Ru: 0.0000 0.0000 0.5000